Entry 1:
{
  "formula": "Zr2Ti2S7",
  "functional": "PBE-GGA",
  "state": "optimized geometry",
  "cell": [[-1.319, 0.387, -3.217], [0.270, -7.453, -2.909], [-6.599, -4.523, 0.260]],
  "species": ["Zr", "Zr", "Ti", "Ti", "S", "S", "S", "S", "S", "S", "S"],
  "frac_coords": [[0.500, 0.325, 0.675], [0.000, 0.769, 0.231], [0.722, 0.885, 0.670], [0.278, 0.330, 0.115], [0.387, 0.713, 0.514], [0.814, 0.080, 0.292], [0.613, 0.486, 0.287], [0.500, 0.006, 0.994], [0.186, 0.708, 0.920], [0.140, 0.135, 0.584], [0.860, 0.416, 0.865]]
}

---

Entry 2:
{
  "formula": "Zr2Ti3S2",
  "functional": "PBE-GGA",
  "state": "optimized geometry",
  "cell": [[3.517, 0.000, 0.000], [-1.759, 4.883, -0.257], [0.000, -2.558, 6.877]],
  "species": ["Ti", "Ti", "Ti", "S", "S", "Zr", "Zr"],
  "frac_coords": [[0.627, 0.254, 0.443], [0.373, 0.746, 0.557], [0.500, 0.000, 0.000], [0.157, 0.314, 0.224], [0.843, 0.686, 0.776], [0.863, 0.726, 0.204], [0.137, 0.274, 0.796]]
}

---

Entry 3:
{
  "formula": "ZrTi2S2",
  "functional": "PBE-GGA",
  "state": "optimized geometry",
  "cell": [[6.079, 0.280, 0.553], [-0.989, 6.004, 0.553], [-1.860, -2.296, 4.320]],
  "species": ["S", "S", "S", "S", "Ti", "Ti", "Ti", "Ti", "Zr", "Zr"],
  "frac_coords": [[0.809, 0.191, 0.250], [0.396, 0.604, 0.250], [0.191, 0.809, 0.750], [0.604, 0.396, 0.750], [0.591, 0.785, 0.022], [0.215, 0.409, 0.478], [0.785, 0.591, 0.522], [0.409, 0.215, 0.978], [0.887, 0.113, 0.750], [0.113, 0.887, 0.250]],
  "e_above_lowest_polymorph_ev_per_atom": 0.006
}

---

Entry 4:
{
  "formula": "ZrTi3S6",
  "functional": "PBE-GGA",
  "state": "optimized geometry",
  "cell": [[-1.615, -1.496, -2.732], [7.501, -6.704, -0.763], [-7.297, -3.785, 6.386]],
  "species": ["S", "S", "S", "S", "S", "S", "S", "S", "S", "S", "S", "S", "Zr", "Zr", "Ti", "Ti", "Ti", "Ti", "Ti", "Ti"],
  "frac_coords": [[0.750, 0.118, 0.469], [0.750, 0.480, 0.619], [0.250, 0.614, 0.930], [0.250, 0.882, 0.531], [0.250, 0.085, 0.898], [0.250, 0.520, 0.381], [0.750, 0.808, 0.754], [0.750, 0.386, 0.070], [0.750, 0.915, 0.102], [0.250, 0.267, 0.720], [0.750, 0.733, 0.280], [0.250, 0.192, 0.246], [0.750, 0.052, 0.702], [0.250, 0.948, 0.298], [0.250, 0.321, 0.490], [0.250, 0.562, 0.144], [0.750, 0.138, 0.067], [0.750, 0.438, 0.856], [0.250, 0.862, 0.933], [0.750, 0.679, 0.510]]
}

---

Quick rundown of E_form (uncorrected), same order as above: -13.99, -6.46, -5.18, -13.49 eV/f.u.